Record 1
! GGA-PBE Ca2TaFe, relaxed; values from VASP
&SYSTEM
  ibrav = 0, nat = 4, ntyp = 3
/
ATOMIC_SPECIES
Ca 40.08 Ca.upf
Fe 55.84 Fe.upf
Ta 180.95 Ta.upf
ATOMIC_POSITIONS crystal
Ca 0.2500 0.2500 0.2500
Ca 0.7500 0.7500 0.7500
Fe 0.0000 0.0000 0.0000
Ta 0.5000 0.5000 0.5000
CELL_PARAMETERS angstrom
0.0000 3.5467 3.5467
3.5467 0.0000 3.5467
3.5467 3.5467 0.0000
! Calculated volume in Å³/cell: 89.2
! Fermi-level density of states in states/eV/atom: 3.71
! Size of the total moment in μB/f.u.: 0.00
! Distance to the lowest polymorph of the same formula in meV/atom: 1087

---

Record 2
! GGA-PBE Ca2TaFe, relaxed; values from VASP
&SYSTEM
  ibrav = 0, nat = 4, ntyp = 3
/
ATOMIC_SPECIES
Ca 40.08 Ca.upf
Fe 55.84 Fe.upf
Ta 180.95 Ta.upf
ATOMIC_POSITIONS crystal
Ca 0.0000 0.0000 0.0000
Ca 0.5000 0.5000 0.0000
Fe 0.2500 0.7500 0.5000
Ta 0.7500 0.2500 0.5000
CELL_PARAMETERS angstrom
-5.6281 1.7221 -0.1763
-3.9008 -2.5605 -3.5917
4.1189 -1.4801 3.9390
! Calculated volume in Å³/cell: 84.8
! Fermi-level density of states in states/eV/atom: 0.79
! Size of the total moment in μB/f.u.: 0.60
! Distance to the lowest polymorph of the same formula in meV/atom: 593

---

Record 3
! GGA-PBE CaTaFe2, relaxed; values from VASP
&SYSTEM
  ibrav = 0, nat = 4, ntyp = 3
/
ATOMIC_SPECIES
Ca 40.08 Ca.upf
Fe 55.84 Fe.upf
Ta 180.95 Ta.upf
ATOMIC_POSITIONS crystal
Ca 0.5000 0.5000 0.5000
Fe 0.0000 0.0000 0.0000
Fe 0.2500 0.2500 0.2500
Ta 0.7500 0.7500 0.7500
CELL_PARAMETERS angstrom
-1.6178 -4.1581 -0.6407
2.2444 -2.9151 -2.6043
2.0833 -3.5397 1.8568
! Calculated volume in Å³/cell: 64.8
! Fermi-level density of states in states/eV/atom: 0.95
! Size of the total moment in μB/f.u.: 3.92
! Distance to the lowest polymorph of the same formula in meV/atom: 516

---

Record 4
! GGA-PBE Ca2TaFe, relaxed; values from VASP
&SYSTEM
  ibrav = 0, nat = 4, ntyp = 3
/
ATOMIC_SPECIES
Ca 40.08 Ca.upf
Fe 55.84 Fe.upf
Ta 180.95 Ta.upf
ATOMIC_POSITIONS crystal
Ca 0.0000 0.0561 0.9436
Ca 0.5000 0.1798 0.3208
Fe 0.0000 0.4335 0.5663
Ta 0.5000 0.8306 0.6693
CELL_PARAMETERS angstrom
-0.4366 0.8315 3.1804
1.0126 -3.0187 0.9282
9.4724 -0.0566 1.3150
! Calculated volume in Å³/cell: 98.7
! Fermi-level density of states in states/eV/atom: 0.67
! Size of the total moment in μB/f.u.: 1.12
! Distance to the lowest polymorph of the same formula in meV/atom: 0

---

Record 5
! GGA-PBE CaTaFe2, relaxed; values from VASP
&SYSTEM
  ibrav = 0, nat = 4, ntyp = 3
/
ATOMIC_SPECIES
Ca 40.08 Ca.upf
Fe 55.84 Fe.upf
Ta 180.95 Ta.upf
ATOMIC_POSITIONS crystal
Ca 0.2500 0.2500 0.2500
Fe 0.0163 0.0163 0.8911
Fe 0.4837 0.4837 0.6089
Ta 0.7500 0.7500 0.7500
CELL_PARAMETERS angstrom
4.5366 0.0066 0.0223
3.4328 2.9659 0.0223
1.0870 0.4054 5.9161
! Calculated volume in Å³/cell: 79.4
! Fermi-level density of states in states/eV/atom: 1.04
! Size of the total moment in μB/f.u.: 3.57
! Distance to the lowest polymorph of the same formula in meV/atom: 256

---

Record 6
! GGA-PBE CaTa3Fe, relaxed; values from VASP
&SYSTEM
  ibrav = 0, nat = 5, ntyp = 3
/
ATOMIC_SPECIES
Ca 40.08 Ca.upf
Fe 55.84 Fe.upf
Ta 180.95 Ta.upf
ATOMIC_POSITIONS crystal
Ca 0.0000 0.0000 0.0000
Fe 0.5000 0.5000 0.5000
Ta 0.0000 0.5000 0.0000
Ta 0.0000 0.0000 0.5000
Ta 0.5000 0.0000 0.0000
CELL_PARAMETERS angstrom
-2.6692 -0.1104 -3.7850
3.7861 -0.1551 -2.6654
-0.0632 -4.6289 0.1795
! Calculated volume in Å³/cell: 99.4
! Fermi-level density of states in states/eV/atom: 1.99
! Size of the total moment in μB/f.u.: 0.00
! Distance to the lowest polymorph of the same formula in meV/atom: 2258

---

Record 7
! GGA-PBE CaTaFe2, relaxed; values from VASP
&SYSTEM
  ibrav = 0, nat = 4, ntyp = 3
/
ATOMIC_SPECIES
Ca 40.08 Ca.upf
Fe 55.84 Fe.upf
Ta 180.95 Ta.upf
ATOMIC_POSITIONS crystal
Ca 0.5000 0.5000 0.7500
Fe 0.0000 0.0000 0.0706
Fe 0.0000 0.0000 0.4294
Ta 0.5000 0.5000 0.2500
CELL_PARAMETERS angstrom
3.2339 0.0000 0.0000
0.0000 3.2339 0.0000
0.0000 0.0000 6.8593
! Calculated volume in Å³/cell: 71.7
! Fermi-level density of states in states/eV/atom: 0.96
! Size of the total moment in μB/f.u.: 2.96
! Distance to the lowest polymorph of the same formula in meV/atom: 0

---

Record 8
! GGA-PBE CaTaFe2, relaxed; values from VASP
&SYSTEM
  ibrav = 0, nat = 4, ntyp = 3
/
ATOMIC_SPECIES
Ca 40.08 Ca.upf
Fe 55.84 Fe.upf
Ta 180.95 Ta.upf
ATOMIC_POSITIONS crystal
Ca 0.0000 0.0000 0.0000
Fe 0.2500 0.2500 0.2500
Fe 0.7500 0.7500 0.7500
Ta 0.5000 0.5000 0.5000
CELL_PARAMETERS angstrom
-2.1198 -1.6267 3.5571
-1.2011 2.7193 3.3099
-4.2979 0.9457 0.6534
! Calculated volume in Å³/cell: 62.3
! Fermi-level density of states in states/eV/atom: 1.37
! Size of the total moment in μB/f.u.: 0.59
! Distance to the lowest polymorph of the same formula in meV/atom: 276

---

Record 9
! GGA-PBE Ca2TaFe, relaxed; values from VASP
&SYSTEM
  ibrav = 0, nat = 8, ntyp = 3
/
ATOMIC_SPECIES
Ca 40.08 Ca.upf
Fe 55.84 Fe.upf
Ta 180.95 Ta.upf
ATOMIC_POSITIONS crystal
Ca 0.4609 0.1250 0.2500
Ca 0.2891 0.6250 0.2500
Ca 0.3750 0.5391 0.7500
Ca 0.8750 0.7109 0.7500
Fe 0.5000 0.5000 0.0000
Fe 0.2500 0.7500 0.5000
Ta 0.0000 0.0000 0.0000
Ta 0.7500 0.2500 0.5000
CELL_PARAMETERS angstrom
10.7855 0.0000 0.0000
0.0000 10.7855 0.0000
5.3928 5.3928 2.2105
! Calculated volume in Å³/cell: 257.1
! Fermi-level density of states in states/eV/atom: 1.31
! Size of the total moment in μB/f.u.: 0.20
! Distance to the lowest polymorph of the same formula in meV/atom: 635

---

Record 10
! GGA-PBE CaTaFe, relaxed; values from VASP
&SYSTEM
  ibrav = 0, nat = 3, ntyp = 3
/
ATOMIC_SPECIES
Ca 40.08 Ca.upf
Fe 55.84 Fe.upf
Ta 180.95 Ta.upf
ATOMIC_POSITIONS crystal
Ca 0.0104 0.0104 0.9896
Fe 0.7019 0.7019 0.2981
Ta 0.2877 0.2877 0.7123
CELL_PARAMETERS angstrom
-5.8372 1.6440 1.6903
-5.8458 -1.5849 1.7181
0.0496 0.0265 3.2286
! Calculated volume in Å³/cell: 61.2
! Fermi-level density of states in states/eV/atom: 1.04
! Size of the total moment in μB/f.u.: 1.28
! Distance to the lowest polymorph of the same formula in meV/atom: 0

---

Record 11
! GGA-PBE Ca3TaFe, relaxed; values from VASP
&SYSTEM
  ibrav = 0, nat = 5, ntyp = 3
/
ATOMIC_SPECIES
Ca 40.08 Ca.upf
Fe 55.84 Fe.upf
Ta 180.95 Ta.upf
ATOMIC_POSITIONS crystal
Ca 0.0000 0.5000 0.0000
Ca 0.0000 0.0000 0.5000
Ca 0.5000 0.0000 0.0000
Fe 0.0000 0.0000 0.0000
Ta 0.5000 0.5000 0.5000
CELL_PARAMETERS angstrom
-3.0387 -2.8837 3.0407
2.4936 -4.2629 -1.5509
3.3681 0.5544 3.8916
! Calculated volume in Å³/cell: 138.7
! Fermi-level density of states in states/eV/atom: 3.20
! Size of the total moment in μB/f.u.: 0.00
! Distance to the lowest polymorph of the same formula in meV/atom: 0

---

Record 12
! GGA-PBE Ca2TaFe, relaxed; values from VASP
&SYSTEM
  ibrav = 0, nat = 4, ntyp = 3
/
ATOMIC_SPECIES
Ca 40.08 Ca.upf
Fe 55.84 Fe.upf
Ta 180.95 Ta.upf
ATOMIC_POSITIONS crystal
Ca 0.0959 0.0959 0.9044
Ca 0.4041 0.4041 0.5956
Fe 0.7500 0.7500 0.7500
Ta 0.2500 0.2500 0.2500
CELL_PARAMETERS angstrom
8.9260 0.0017 -0.0116
8.3552 3.1409 -0.0116
0.8079 0.1469 3.6975
! Calculated volume in Å³/cell: 103.6
! Fermi-level density of states in states/eV/atom: 1.10
! Size of the total moment in μB/f.u.: 0.15
! Distance to the lowest polymorph of the same formula in meV/atom: 156